1.
{"formula": "LiPdF", "functional": "PBE", "state": "relaxed", "lattice": [[5.824, 0.000, 0.000], [0.000, 5.000, 0.000], [0.000, 0.000, 5.467]], "species": ["Li", "Li", "Li", "Li", "Pd", "Pd", "Pd", "Pd", "F", "F", "F", "F"], "frac_coords": [[0.176, 0.250, 0.171], [0.324, 0.750, 0.671], [0.676, 0.250, 0.329], [0.824, 0.750, 0.829], [0.016, 0.250, 0.648], [0.484, 0.750, 0.148], [0.516, 0.250, 0.852], [0.984, 0.750, 0.352], [0.000, 0.000, 0.000], [0.000, 0.500, 0.000], [0.500, 0.000, 0.500], [0.500, 0.500, 0.500]], "final_energy_ev_per_atom": -4.04, "raw_formation_energy_mev_per_atom": -1046, "total_magnetization_mub_per_fu": 0.0}

2.
{"formula": "LiPdF", "functional": "PBE", "state": "relaxed", "lattice": [[3.967, 0.000, 0.000], [-1.983, 3.435, 0.000], [0.000, 0.000, 6.364]], "species": ["Li", "Li", "Pd", "Pd", "F", "F"], "frac_coords": [[0.000, 0.000, 0.000], [0.000, 0.000, 0.500], [0.333, 0.667, 0.250], [0.667, 0.333, 0.750], [0.333, 0.667, 0.750], [0.667, 0.333, 0.250]], "final_energy_ev_per_atom": -3.65, "raw_formation_energy_mev_per_atom": -654, "total_magnetization_mub_per_fu": 0.0}

3.
{"formula": "LiPd2F4", "functional": "PBE", "state": "relaxed", "lattice": [[-2.866, 2.866, 3.504], [2.866, -2.866, 3.504], [2.866, 2.866, -3.504]], "species": ["Li", "Pd", "Pd", "F", "F", "F", "F"], "frac_coords": [[0.000, 0.000, 0.000], [0.250, 0.750, 0.500], [0.750, 0.250, 0.500], [0.136, 0.312, 0.448], [0.312, 0.864, 0.175], [0.688, 0.136, 0.825], [0.864, 0.688, 0.552]], "final_energy_ev_per_atom": -4.02, "raw_formation_energy_mev_per_atom": -1189, "total_magnetization_mub_per_fu": 3.0}

4.
{"formula": "Rb2LiPdF6", "functional": "PBE", "state": "relaxed", "lattice": [[-2.990, 2.990, 4.229], [2.990, -2.990, 4.229], [2.990, 2.990, -4.229]], "species": ["Rb", "Rb", "Li", "Pd", "F", "F", "F", "F", "F", "F"], "frac_coords": [[0.250, 0.750, 0.500], [0.750, 0.250, 0.500], [0.000, 0.000, 0.000], [0.500, 0.500, 0.000], [0.248, 0.248, 0.496], [0.248, 0.752, 0.000], [0.267, 0.267, 0.000], [0.733, 0.733, 0.000], [0.752, 0.248, 0.000], [0.752, 0.752, 0.504]], "final_energy_ev_per_atom": -4.29, "raw_formation_energy_mev_per_atom": -2259, "total_magnetization_mub_per_fu": 1.0}

5.
{"formula": "Rb3LiPd2F9", "functional": "PBE", "state": "relaxed", "lattice": [[6.018, 0.000, 0.000], [-3.009, 5.211, 0.000], [0.000, 0.000, 7.369]], "species": ["Rb", "Rb", "Rb", "Li", "Pd", "Pd", "F", "F", "F", "F", "F", "F", "F", "F", "F"], "frac_coords": [[0.000, 0.000, 0.000], [0.333, 0.667, 0.652], [0.667, 0.333, 0.348], [0.000, 0.000, 0.500], [0.333, 0.667, 0.168], [0.667, 0.333, 0.832], [0.000, 0.500, 0.000], [0.167, 0.333, 0.329], [0.167, 0.833, 0.329], [0.333, 0.167, 0.671], [0.500, 0.000, 0.000], [0.500, 0.500, 0.000], [0.667, 0.833, 0.329], [0.833, 0.167, 0.671], [0.833, 0.667, 0.671]], "final_energy_ev_per_atom": -4.26, "raw_formation_energy_mev_per_atom": -2119, "total_magnetization_mub_per_fu": 0.6}

6.
{"formula": "Rb2Li2PdF6", "functional": "PBE", "state": "relaxed", "lattice": [[5.616, 0.000, 0.000], [-2.808, 4.864, 0.000], [0.000, 0.000, 6.352]], "species": ["Rb", "Rb", "Li", "Li", "Pd", "F", "F", "F", "F", "F", "F"], "frac_coords": [[0.333, 0.667, 0.000], [0.667, 0.333, 0.000], [0.333, 0.667, 0.500], [0.667, 0.333, 0.500], [0.000, 0.000, 0.500], [0.000, 0.345, 0.325], [0.000, 0.655, 0.675], [0.345, 0.000, 0.325], [0.345, 0.345, 0.675], [0.655, 0.000, 0.675], [0.655, 0.655, 0.325]], "final_energy_ev_per_atom": -4.30, "raw_formation_energy_mev_per_atom": -2281, "total_magnetization_mub_per_fu": 2.0}

7.
{"formula": "Rb3Li2PdF9", "functional": "PBE", "state": "relaxed", "lattice": [[6.035, 0.000, 0.000], [-3.018, 5.227, 0.000], [0.000, 0.000, 7.693]], "species": ["Rb", "Rb", "Rb", "Li", "Li", "Pd", "F", "F", "F", "F", "F", "F", "F", "F", "F"], "frac_coords": [[0.000, 0.000, 0.000], [0.333, 0.667, 0.684], [0.667, 0.333, 0.316], [0.333, 0.667, 0.084], [0.667, 0.333, 0.916], [0.000, 0.000, 0.500], [0.000, 0.500, 0.000], [0.153, 0.306, 0.354], [0.153, 0.847, 0.354], [0.306, 0.153, 0.646], [0.500, 0.000, 0.000], [0.500, 0.500, 0.000], [0.694, 0.847, 0.354], [0.847, 0.153, 0.646], [0.847, 0.694, 0.646]], "final_energy_ev_per_atom": -4.31, "raw_formation_energy_mev_per_atom": -2390, "total_magnetization_mub_per_fu": 0.1}

8.
{"formula": "Li2PdRhF8", "functional": "PBE", "state": "relaxed", "lattice": [[4.715, 0.000, 0.000], [0.000, 6.484, 0.000], [-0.245, 0.000, 4.726]], "species": ["Li", "Li", "Pd", "Rh", "F", "F", "F", "F", "F", "F", "F", "F"], "frac_coords": [[0.000, 0.242, 0.000], [0.000, 0.758, 0.000], [0.500, 0.500, 0.500], [0.500, 0.000, 0.500], [0.197, 0.000, 0.194], [0.198, 0.500, 0.196], [0.308, 0.234, 0.688], [0.308, 0.766, 0.688], [0.692, 0.234, 0.312], [0.692, 0.766, 0.312], [0.802, 0.500, 0.804], [0.803, 0.000, 0.806]], "final_energy_ev_per_atom": -4.54, "raw_formation_energy_mev_per_atom": -1926, "total_magnetization_mub_per_fu": 1.1}